Entry 1:
# BeNiIr2

A geometry-optimized BeNiIr2 structure (PBE, the Alexandria database).

- space-group type = I-4m2 (119)
- VASP energy (eV per atom) = -6.95
- ΔH_f (0 K) (eV/atom) = -0.14

a = 4.5443 Å, b = 4.5443 Å, c = 4.5443 Å
α = 132.99°, β = 132.99°, γ = 68.67°
Element x y z (fractional)
Be  0.7500  0.2500  0.5000
Ir  0.0000  0.0000  0.0000
Ir  0.2500  0.7500  0.5000
Ni  0.5000  0.5000  0.0000

Entry 2:
# Zr2BeAl2

A geometry-optimized Zr2BeAl2 structure (PBE, the Alexandria database).

- space-group type = P4/mbm (127)
- VASP energy (eV per atom) = -5.55
- ΔH_f (0 K) (eV/atom) = 0.11

a = 6.8040 Å, b = 6.8040 Å, c = 4.2585 Å
α = 90.00°, β = 90.00°, γ = 90.00°
Element x y z (fractional)
Zr  0.6577  0.1577  0.0000
Zr  0.1577  0.3423  0.0000
Zr  0.8423  0.6577  0.0000
Zr  0.3423  0.8423  0.0000
Al  0.6475  0.8525  0.5000
Al  0.1475  0.6475  0.5000
Al  0.8525  0.3525  0.5000
Al  0.3525  0.1475  0.5000
Be  0.0000  0.0000  0.0000
Be  0.5000  0.5000  0.0000

Entry 3:
# K2RbTl6

A geometry-optimized K2RbTl6 structure (PBE, the Alexandria database).

- space-group type = P6/mmm (191)
- VASP energy (eV per atom) = -2.00
- ΔH_f (0 K) (eV/atom) = -0.07

a = 4.1148 Å, b = 9.5055 Å, c = 9.5055 Å
α = 120.00°, β = 90.00°, γ = 90.00°
Element x y z (fractional)
K  0.0000  0.6667  0.3333
K  0.0000  0.3333  0.6667
Tl  0.5000  0.6643  0.6643
Tl  0.5000  0.3357  0.0000
Tl  0.5000  0.3357  0.3357
Tl  0.5000  0.0000  0.3357
Tl  0.5000  0.6643  0.0000
Tl  0.5000  0.0000  0.6643
Rb  0.0000  0.0000  0.0000

Entry 4:
# Rb2CaHBr

A geometry-optimized Rb2CaHBr structure (PBE, the Alexandria database).

- space-group type = P4/mmm (123)
- VASP energy (eV per atom) = -2.05

a = 5.2671 Å, b = 7.5247 Å, c = 5.2671 Å
α = 90.00°, β = 90.00°, γ = 90.00°
Element x y z (fractional)
Rb  0.0000  0.0000  0.5000
Rb  0.5000  0.0000  0.0000
Br  0.0000  0.5000  0.0000
H  0.0000  0.0000  0.0000
Ca  0.5000  0.5000  0.5000

Entry 5:
# Sc2TaBi

A geometry-optimized Sc2TaBi structure (PBE, the Alexandria database).

- space-group type = I-42d (122)
- VASP energy (eV per atom) = -6.64
- ΔH_f (0 K) (eV/atom) = 0.46

a = 8.0178 Å, b = 8.0178 Å, c = 6.4002 Å
α = 51.22°, β = 51.22°, γ = 90.00°
Last column: magnetic moment on the atom in μB.
Element x y z (fractional)
Ta  0.5000  0.5000  0.0000  0.04
Ta  0.2500  0.7500  0.5000  0.04
Sc  0.6139  0.1250  0.2500  0.12
Sc  0.3750  0.3861  0.7500  0.13
Sc  0.1361  0.6250  0.2500  0.12
Sc  0.8750  0.8639  0.7500  0.14
Bi  0.7500  0.2500  0.5000  0.00
Bi  0.0000  0.0000  0.0000  0.00

Entry 6:
# AsP2Os

A geometry-optimized AsP2Os structure (PBE, the Alexandria database).

- space-group type = Imm2 (44)
- VASP energy (eV per atom) = -6.34
- ΔH_f (0 K) (eV/atom) = 0.33

a = 6.3520 Å, b = 6.3520 Å, c = 6.3520 Å
α = 153.38°, β = 144.78°, γ = 44.69°
Element x y z (fractional)
P  0.9365  0.9365  0.0000
P  0.2220  0.7220  0.5000
As  0.5652  0.5652  0.0000
Os  0.7764  0.2764  0.5000

Entry 7:
# LiTlSi

A geometry-optimized LiTlSi structure (PBE, the Alexandria database).

- space-group type = Pmm2 (25)
- VASP energy (eV per atom) = -3.28

a = 3.6900 Å, b = 4.1373 Å, c = 8.6379 Å
α = 90.00°, β = 90.00°, γ = 90.00°
Element x y z (fractional)
Li  0.0000  0.5000  0.3556
Li  0.5000  0.5000  0.6124
Tl  0.0000  0.0000  0.8740
Tl  0.5000  0.5000  0.0926
Si  0.5000  0.0000  0.3745
Si  0.0000  0.0000  0.5447

Entry 8:
# La2YSe

A geometry-optimized La2YSe structure (PBE, the Alexandria database).

- space-group type = F-43m (216)
- VASP energy (eV per atom) = -5.19

a = 5.4550 Å, b = 5.4550 Å, c = 5.4550 Å
α = 60.00°, β = 60.00°, γ = 60.00°
Last column: magnetic moment on the atom in μB.
Element x y z (fractional)
La  0.0000  0.0000  0.0000  0.38
La  0.2500  0.2500  0.2500  0.14
Se  0.5000  0.5000  0.5000  0.00
Y  0.7500  0.7500  0.7500  0.20

Entry 9:
# As2PtSeO

A geometry-optimized As2PtSeO structure (PBE, the Alexandria database).

- space-group type = P4/mmm (123)
- VASP energy (eV per atom) = -4.34

a = 4.2244 Å, b = 4.2244 Å, c = 4.7239 Å
α = 90.00°, β = 90.00°, γ = 90.00°
Element x y z (fractional)
Se  0.0000  0.0000  0.5000
As  0.0000  0.5000  0.0000
As  0.5000  0.0000  0.0000
Pt  0.5000  0.5000  0.5000
O  0.0000  0.0000  0.0000

| no. | magnetic moment (μB/f.u.) |
| --- | --- |
| 1 | 0.0 |
| 2 | 0.0 |
| 3 | 0.0 |
| 4 | 0.0 |
| 5 | 0.4 |
| 6 | 0.0 |
| 7 | 0.0 |
| 8 | 1.3 |
| 9 | 0.0 |